(1)
## BaFeRe2 (PBE)

Data for crystalline BaFeRe2 at its relaxed geometry.

a = 5.887 Å, b = 5.887 Å, c = 5.887 Å
α = 149.08°, β = 122.20°, γ = 67.00°
Fractional coordinates of all 4 atoms:
Ba (0.000, 0.000, 0.000)
Fe (0.299, 0.799, 0.500)
Re (0.503, 0.503, 0.000)
Re (0.691, 0.191, 0.500)

## Properties
Its total magnetization is 1.971 Bohr magnetons per cell. Its formation enthalpy at 0 K is 1245 meV per atom.

***

(2)
## Tb5Sm5Cd2 (PBE)

Data for crystalline Tb5Sm5Cd2 at its relaxed geometry.

a = 6.709 Å, b = 6.709 Å, c = 11.136 Å
α = 90.17°, β = 90.17°, γ = 48.09°
Fractional coordinates of all 12 atoms:
Tb (0.000, 0.000, 0.000)
Tb (0.183, 0.183, 0.749)
Tb (0.321, 0.321, 0.466)
Tb (0.679, 0.679, 0.534)
Tb (0.817, 0.817, 0.251)
Sm (0.000, 0.000, 0.500)
Sm (0.321, 0.321, 0.033)
Sm (0.480, 0.480, 0.749)
Sm (0.520, 0.520, 0.251)
Sm (0.679, 0.679, 0.967)
Cd (0.150, 0.150, 0.250)
Cd (0.850, 0.850, 0.750)

## Properties
Its total magnetization is 0.000 Bohr magnetons per cell. Its formation enthalpy at 0 K is -64 meV per atom.

***

(3)
## TmPaOsAu (PBE)

Data for crystalline TmPaOsAu at its relaxed geometry.

a = 4.948 Å, b = 4.948 Å, c = 4.948 Å
α = 60.00°, β = 60.00°, γ = 60.00°
Fractional coordinates of all 4 atoms:
Tm (0.000, 0.000, 0.000)
Pa (0.500, 0.500, 0.500)
Os (0.250, 0.250, 0.250)
Au (0.750, 0.750, 0.750)

## Properties
Its total magnetization is 0.000 Bohr magnetons per cell. Its formation enthalpy at 0 K is -338 meV per atom.

***

(4)
## CaAgN (PBE)

Data for crystalline CaAgN at its relaxed geometry.

a = 4.137 Å, b = 4.137 Å, c = 4.217 Å
α = 90.00°, β = 90.00°, γ = 120.00°
Fractional coordinates of all 3 atoms:
Ca (0.000, 0.000, 0.000)
Ag (0.667, 0.333, 0.500)
N (0.667, 0.333, 0.000)

## Properties
The raw formation energy is -156 meV/atom. Its total magnetization is 0.000 Bohr magnetons per cell.

***

Number 1: N(E_F) 4.5 states/eV per cell, calculated volume 87.7 Å³ per cell, total DFT energy (no corrections) -7.58 eV per atom. Number 2: N(E_F) 14.1 states/eV per cell, calculated volume 373.1 Å³ per cell, total DFT energy (no corrections) -4.11 eV per atom. Number 3: N(E_F) 5.4 states/eV per cell, calculated volume 85.6 Å³ per cell, total DFT energy (no corrections) -7.46 eV per atom. Number 4: N(E_F) 1.0 states/eV per cell, calculated volume 62.5 Å³ per cell, total DFT energy (no corrections) -4.55 eV per atom.